# 1
DFT (GGA-PBE) results for an optimized crystal structure of Ac2Tb3Y6Er.

a b c (Å): 6.3141 6.3141 11.9478
angles (deg): 95.04 95.04 119.99
With the nearest neighbours (Å) after each atom.
Fractional positions:
1 Ac 0.3334 0.6666 0.0000  3 Ac 3.64-3.65, 3 Er 3.65, 6 Y 3.68
2 Ac 0.6666 0.3334 0.0000  3 Ac 3.64-3.65, 3 Er 3.65, 6 Y 3.68
3 Tb 0.1667 0.8333 0.5000  6 Y 3.55-3.57, 6 Tb 3.64-3.65
4 Tb 0.8333 0.1667 0.5000  6 Y 3.55-3.57, 6 Tb 3.64-3.65
5 Tb 0.5000 0.5000 0.5000  6 Y 3.55-3.56, 6 Tb 3.64-3.65
6 Y 0.9149 0.5845 0.7438  3 Tb 3.55-3.57, 6 Y 3.61-3.66, 1 Er 3.66, 2 Ac 3.68
7 Y 0.7548 0.7548 0.2565  3 Tb 3.55-3.56, 6 Y 3.61-3.66, 1 Er 3.67, 2 Ac 3.68
8 Y 0.0851 0.4155 0.2562  3 Tb 3.55-3.57, 6 Y 3.61-3.66, 1 Er 3.66, 2 Ac 3.68
9 Y 0.5845 0.9149 0.7438  3 Tb 3.55-3.57, 6 Y 3.61-3.66, 1 Er 3.66, 2 Ac 3.68
10 Y 0.2452 0.2452 0.7435  3 Tb 3.55-3.56, 6 Y 3.61-3.66, 1 Er 3.67, 2 Ac 3.68
11 Y 0.4155 0.0851 0.2562  3 Tb 3.55-3.57, 6 Y 3.61-3.66, 1 Er 3.66, 2 Ac 3.68
12 Er 0.0000 0.0000 0.0000  6 Ac 3.65, 6 Y 3.66-3.67

## Properties
The calculation puts the raw total energy at -5.4150 eV/atom.


# 2
DFT (GGA-PBE) results for an optimized crystal structure of PrPuSn2.

a b c (Å): 4.5443 4.9565 4.9565
angles (deg): 90.00 90.00 90.00
With the nearest neighbours (Å) after each atom.
Fractional positions:
1 Pr 0.5000 0.0000 0.0000  8 Sn 3.36, 4 Pu 3.50
2 Sn 0.0000 0.0000 0.5000  4 Pr 3.36, 4 Pu 3.36, 4 Sn 3.50
3 Sn 0.0000 0.5000 0.0000  4 Pu 3.36, 4 Pr 3.36, 4 Sn 3.50
4 Pu 0.5000 0.5000 0.5000  8 Sn 3.36, 4 Pr 3.50

## Properties
The calculation puts the raw total energy at -7.2712 eV/atom.


# 3
DFT (GGA-PBE) results for an optimized crystal structure of CuNiRh2.

a b c (Å): 2.6307 2.6307 8.7497
angles (deg): 90.00 90.00 118.65
With the nearest neighbours (Å) after each atom.
Fractional positions:
1 Cu 0.0000 0.0000 0.5097  2 Ni 2.45, 2 Rh 2.60, 6 Cu 2.63-2.68
2 Ni 0.5000 0.5000 0.7445  2 Cu 2.45, 2 Rh 2.54, 6 Ni 2.63-2.68
3 Rh 0.0000 0.0000 0.9906  2 Ni 2.54, 8 Rh 2.63-2.68
4 Rh 0.5000 0.5000 0.2552  2 Cu 2.60, 8 Rh 2.63-2.68

## Properties
The calculation puts the raw total energy at -5.9534 eV/atom.


# 4
DFT (GGA-PBE) results for an optimized crystal structure of BaGaH2F8.

a b c (Å): 4.6437 4.6437 8.2874
angles (deg): 88.75 88.75 63.36
With the nearest neighbours (Å) after each atom.
Fractional positions:
1 Ba 0.0000 0.0000 0.5000  10 F 2.71-2.92
2 Ga 0.0000 0.0000 0.0000  6 F 1.84-1.99
3 H 0.5046 0.5046 0.8223  2 F 1.15
4 H 0.4954 0.4954 0.1777  2 F 1.15
5 F 0.2594 0.7307 0.1834  1 H 1.15
6 F 0.7678 0.7678 0.9994  1 Ga 1.84
7 F 0.7307 0.2594 0.1834  1 H 1.15
8 F 0.7406 0.2693 0.8166  1 H 1.15
9 F 0.2322 0.2322 0.0006  1 Ga 1.84
10 F 0.2693 0.7406 0.8166  1 H 1.15
11 F 0.6578 0.6578 0.4946  1 F 2.49, 3 Ba 2.71-2.74
12 F 0.3422 0.3422 0.5054  1 F 2.49, 3 Ba 2.71-2.74

## Properties
The calculation puts the raw total energy at -4.5287 eV/atom.


# 5
DFT (GGA-PBE) results for an optimized crystal structure of Ba2LiRhN.

a b c (Å): 5.8676 5.8676 3.8648
angles (deg): 90.00 90.00 90.00
With the nearest neighbours (Å) after each atom.
Fractional positions:
1 Li 0.5000 0.5000 0.5000  8 Ba 3.51, 2 Li 3.86
2 Rh 0.0000 0.0000 0.5000  2 N 1.93
3 Ba 0.0000 0.5000 0.0000  2 N 2.93
4 Ba 0.5000 0.0000 0.0000  2 N 2.93
5 N 0.0000 0.0000 0.0000  2 Rh 1.93

## Properties
As for the uncorrected formation energy: -137.5 kJ/mol of formula units.


# 6
DFT (GGA-PBE) results for an optimized crystal structure of La2Mg3Ga2.

a b c (Å): 4.6237 5.9900 7.1799
angles (deg): 100.86 90.00 112.70
With the nearest neighbours (Å) after each atom.
Fractional positions:
1 La 0.6191 0.2381 0.3710  5 Ga 3.20-3.29, 4 Mg 3.50-3.57, 1 La 3.51
2 La 0.3809 0.7619 0.6290  5 Ga 3.20-3.29, 4 Mg 3.50-3.57, 1 La 3.51
3 Mg 0.3108 0.6217 0.1243  2 Ga 2.82, 2 Mg 3.06
4 Mg 0.0000 0.0000 0.0000  2 Ga 2.79
5 Mg 0.6892 0.3783 0.8757  2 Ga 2.82, 2 Mg 3.06
6 Ga 0.0961 0.1923 0.6703  3 Mg 2.79-2.82, 1 Ga 2.89
7 Ga 0.9039 0.8077 0.3297  3 Mg 2.79-2.82, 1 Ga 2.89

## Properties
The calculation puts the raw total energy at -3.3046 eV/atom.


# 7
DFT (GGA-PBE) results for an optimized crystal structure of ZrAg2Hg.

a b c (Å): 3.0928 3.0928 8.4461
angles (deg): 90.00 90.00 90.02
With the nearest neighbours (Å) after each atom.
Fractional positions:
1 Zr 0.5000 0.5000 0.7500  8 Ag 3.04, 4 Zr 3.09
2 Hg 0.5000 0.5000 0.2500  8 Ag 3.04, 4 Hg 3.09
3 Ag 0.0000 0.0000 0.9995  4 Zr 3.04, 4 Hg 3.04, 4 Ag 3.09
4 Ag 0.0000 0.0000 0.5005  4 Zr 3.04, 4 Hg 3.04, 4 Ag 3.09

## Properties
The calculation puts the raw total energy at -3.6301 eV/atom.


# 8
DFT (GGA-PBE) results for an optimized crystal structure of Ta2RePt.

a b c (Å): 5.1209 5.1209 5.1209
angles (deg): 137.57 131.73 66.19
With the nearest neighbours (Å) after each atom.
Fractional positions:
1 Pt 0.4995 0.4995 0.0000  8 Ta 2.80-2.97, 4 Re 2.89-2.94
2 Re 0.2404 0.7404 0.5000  6 Ta 2.74-2.80, 4 Pt 2.89-2.94
3 Ta 0.0053 0.0053 0.0000  2 Re 2.74, 4 Pt 2.80, 4 Ta 2.84-2.99
4 Ta 0.7548 0.2548 0.5000  4 Re 2.80, 4 Ta 2.84-2.99, 4 Pt 2.87-2.97

## Properties
The calculation puts the raw total energy at -10.8348 eV/atom.


For reference, mass density by record: 6.670, 9.257, 10.251, 3.755, 4.973, 4.533, 10.432, 18.533 g cm⁻³.